1.
First-principles (PBE-GGA) data for Th2GaBi after structural relaxation, as listed in Alexandria.

Results
The excess energy over the best structure of this formula in the dataset is 0.000 eV/atom. Its crystal system is trigonal. The formation energy from the elements is -0.473 eV per atom. For the total DFT energy (no corrections), the calculation gives -0.2172 hartree per atom.

Lattice parameters (Å, degrees): 4.4244 4.4244 22.2747 90.00 90.00 120.00
Closest atoms and distances in Å follow each position.
Space group R-3m (No. 166, hexagonal axes)
Symmetry-distinct sites (fractional):
Th  0.0000  0.0000  0.2416  3 Ga 3.05, 3 Bi 3.27
Ga  0.0000  0.0000  0.5000  6 Th 3.05
Bi  0.0000  0.0000  0.0000  6 Th 3.27



2.
First-principles (PBE-GGA) data for NaAl3F after structural relaxation, as listed in Alexandria.

Results
The excess energy over the best structure of this formula in the dataset is 0.939 eV/atom. Its crystal system is cubic. Its energy relative to the elements, uncorrected is 0.7650 eV per atom. For the total DFT energy (no corrections), the calculation gives -0.0779 hartree per atom.

Lattice parameters (Å, degrees): 5.3180 5.3180 5.3180 90.00 90.00 90.00
Closest atoms and distances in Å follow each position.
Space group Pm-3m (No. 221)
Symmetry-distinct sites (fractional):
Na  0.0000  0.0000  0.0000  6 Al 2.66
Al  0.0000  0.0000  0.5000  2 Na 2.66
F  0.5000  0.5000  0.5000  12 Al 3.76



3.
First-principles (PBE-GGA) data for Cd2SBrCl after structural relaxation, as listed in Alexandria.

Results
Its crystal system is tetragonal. Its energy relative to the elements, uncorrected is -0.1377 eV per atom. For the total DFT energy (no corrections), the calculation gives -0.0747 hartree per atom.

Lattice parameters (Å, degrees): 5.2700 5.2700 4.8944 90.00 90.00 90.00
Closest atoms and distances in Å follow each position.
Space group P4/mmm (No. 123)
Symmetry-distinct sites (fractional):
Cd  0.0000  0.5000  0.0000  2 S 2.63
S  0.0000  0.0000  0.0000  2 Cl 2.45, 4 Cd 2.63
Br  0.5000  0.5000  0.5000  8 Cd 3.60, 4 Cl 3.73
Cl  0.0000  0.0000  0.5000  2 S 2.45



4.
First-principles (PBE-GGA) data for SrNb2Pd after structural relaxation, as listed in Alexandria.

Results
The excess energy over the best structure of this formula in the dataset is 0.000 eV/atom. Its crystal system is tetragonal. The formation energy from the elements is 0.565 eV per atom. For the total DFT energy (no corrections), the calculation gives -0.2274 hartree per atom.

Lattice parameters (Å, degrees): 3.9674 3.9674 22.6747 90.00 90.00 90.00
Closest atoms and distances in Å follow each position.
Space group I-42d (No. 122)
Symmetry-distinct sites (fractional):
Sr  0.0000  0.0000  0.0000  4 Pd 2.81
Nb  0.2271  0.2500  0.6250  4 Nb 2.68-2.94
Pd  0.0000  0.0000  0.5000  4 Sr 2.81, 4 Nb 3.14



Going through the records in order, we get Fermi-level density of states values of 6.25 4.02 2.49 12.78 states/eV/cell.
Going through the records in order, we get total moment values of 0.00 0.00 0.00 0.00 μB/f.u..